# 1
First-principles (PBE) data for an optimized crystal structure of BaP2Br, as listed in the Alexandria database.

Values from the calculation:
As for the calculated total energy: -3.70 eV/atom. Its total magnetic moment is 0.00 μB/f.u.

Geometry as CIF:
```
data_BaP2Br
_cell_length_a 5.308
_cell_length_b 5.308
_cell_length_c 5.308
_cell_angle_alpha 60.00
_cell_angle_beta 60.00
_cell_angle_gamma 60.00
_symmetry_space_group_name_H-M 'P 1'
_symmetry_Int_Tables_number 1
_symmetry_space_group_name_Hall 'P 1'
loop_
_atom_site_label
_atom_site_fract_x
_atom_site_fract_y
_atom_site_fract_z
_atom_site_occupancy
Ba1 0.000 0.000 0.000 1
P1 0.500 0.500 0.500 1
P2 0.750 0.750 0.750 1
Br1 0.250 0.250 0.250 1
```



# 2
First-principles (PBE) data for an optimized crystal structure of CuSe2N, as listed in the Alexandria database.

Values from the calculation:
As for the calculated total energy: -4.40 eV/atom. Its total magnetic moment is 0.00 μB/f.u.

Geometry as CIF:
```
data_CuSe2N
_cell_length_a 4.724
_cell_length_b 4.724
_cell_length_c 11.689
_cell_angle_alpha 106.84
_cell_angle_beta 106.84
_cell_angle_gamma 39.56
_symmetry_space_group_name_H-M 'P 1'
_symmetry_Int_Tables_number 1
_symmetry_space_group_name_Hall 'P 1'
loop_
_atom_site_label
_atom_site_fract_x
_atom_site_fract_y
_atom_site_fract_z
_atom_site_occupancy
Cu1 0.169 0.169 0.220 1
Cu2 0.831 0.831 0.780 1
Se1 0.011 0.011 0.627 1
Se2 0.467 0.467 0.087 1
Se3 0.533 0.533 0.913 1
Se4 0.989 0.989 0.373 1
N1 0.209 0.209 0.714 1
N2 0.791 0.791 0.286 1
```



# 3
First-principles (PBE) data for an optimized crystal structure of CuSeF3, as listed in the Alexandria database.

Values from the calculation:
As for the calculated total energy: -3.30 eV/atom. Its total magnetic moment is 0.96 μB/f.u.

Geometry as CIF:
```
data_CuSeF3
_cell_length_a 4.052
_cell_length_b 4.052
_cell_length_c 4.052
_cell_angle_alpha 90.00
_cell_angle_beta 90.00
_cell_angle_gamma 90.00
_symmetry_space_group_name_H-M 'P 1'
_symmetry_Int_Tables_number 1
_symmetry_space_group_name_Hall 'P 1'
loop_
_atom_site_label
_atom_site_fract_x
_atom_site_fract_y
_atom_site_fract_z
_atom_site_occupancy
Cu1 0.000 0.000 0.000 1
Se1 0.500 0.500 0.500 1
F1 0.000 0.000 0.500 1
F2 0.000 0.500 0.000 1
F3 0.500 0.000 0.000 1
```



# 4
First-principles (PBE) data for an optimized crystal structure of ScV3In, as listed in the Alexandria database.

Values from the calculation:
As for the calculated total energy: -5.81 eV/atom. Its total magnetic moment is 9.67 μB/f.u.

Geometry as CIF:
```
data_ScV3In
_cell_length_a 5.006
_cell_length_b 5.006
_cell_length_c 5.006
_cell_angle_alpha 90.00
_cell_angle_beta 90.00
_cell_angle_gamma 90.00
_symmetry_space_group_name_H-M 'P 1'
_symmetry_Int_Tables_number 1
_symmetry_space_group_name_Hall 'P 1'
loop_
_atom_site_label
_atom_site_fract_x
_atom_site_fract_y
_atom_site_fract_z
_atom_site_occupancy
Sc1 0.000 0.000 0.000 1
V1 0.000 0.500 0.500 1
V2 0.500 0.000 0.500 1
V3 0.500 0.500 0.000 1
In1 0.500 0.500 0.500 1
```